1.
## GdTmCd6 (PBE)

Data for an optimized crystal structure of GdTmCd6.

The total energy comes out at -2.083 eV per atom. The energy above the most stable polymorph in this dataset is 0.012 eV per atom. Its calculated density is 9109 kg/m3. The formation energy comes out at -0.270 eV per atom.

a b c (Å): 5.0453 7.1656 5.0457
angles (deg): 90.00 90.00 90.00
With the nearest neighbours (Å) after each atom.
Space group Pmm2 (No. 25)
Symmetry-distinct sites (fractional):
Gd (0.0000, 0.0000, 0.0000)  8 Cd 3.11
Tm (0.5000, 0.5000, 0.4921)  8 Cd 3.08
Cd (0.0000, 0.2540, 0.5007)  4 Cd 3.07-3.11, 2 Tm 3.08, 2 Gd 3.11
Cd (0.0000, 0.5000, 0.9999)  8 Cd 3.07-3.08
Cd (0.5000, 0.0000, 0.4932)  8 Cd 3.11-3.12
Cd (0.5000, 0.2540, 0.9918)  2 Tm 3.08, 4 Cd 3.08-3.12, 2 Gd 3.11

---

2.
## Y2Al4IrAu (PBE)

Data for an optimized crystal structure of Y2Al4IrAu.

The total energy comes out at -5.785 eV per atom. Its calculated density is 7217 kg/m3.

a b c (Å): 7.0159 4.2649 10.3789
angles (deg): 90.00 90.00 90.00
With the nearest neighbours (Å) after each atom.
Space group Amm2 (No. 38)
Symmetry-distinct sites (fractional):
Y (0.0000, 0.0000, 0.0000)  3 Ir 2.93-3.11, 6 Al 3.08-3.25
Y (0.5000, 0.0000, 0.1411)  3 Au 2.95-3.09, 6 Al 3.14-3.29
Al (0.1895, 0.0000, 0.7139)  2 Ir 2.61, 1 Au 2.64, 1 Al 2.66
Al (0.2979, 0.0000, 0.4267)  1 Ir 2.57, 2 Au 2.66, 1 Al 2.84
Ir (0.0000, 0.0000, 0.2822)  6 Al 2.57-2.61
Au (0.5000, 0.0000, 0.8567)  6 Al 2.64-2.66

---

3.
## Cs2ZrF6 (PBE)

Data for an optimized crystal structure of Cs2ZrF6.

The total energy comes out at -5.698 eV per atom. Its calculated density is 5172 kg/m3.

a b c (Å): 6.1139 6.1139 4.6715
angles (deg): 90.00 90.00 120.00
With the nearest neighbours (Å) after each atom.
Space group P-3m1 (No. 164)
Symmetry-distinct sites (fractional):
Cs (0.3333, 0.6667, 0.2835)  12 F 2.89-3.07
Zr (0.0000, 0.0000, 0.0000)  6 F 2.03
F (0.1602, 0.3204, 0.7629)  1 Zr 2.03

---

4.
## Gd4PbC2Se (PBE)

Data for an optimized crystal structure of Gd4PbC2Se.

The total energy comes out at -6.304 eV per atom. Its calculated density is 8614 kg/m3.

a b c (Å): 3.7492 3.7492 14.8725
angles (deg): 90.00 90.00 120.00
With the nearest neighbours (Å) after each atom.
Space group P-6m2 (No. 187)
Symmetry-distinct sites (fractional):
Gd (0.0000, 0.0000, 0.1357)  3 C 2.58
Gd (0.6667, 0.3333, 0.3182)  3 C 2.54
Pb (0.0000, 0.0000, 0.5000)  6 Gd 3.46, 6 Pb 3.75
C (0.3333, 0.6667, 0.2295)  6 Gd 2.54-2.58
Se (0.6667, 0.3333, 0.0000)  6 Gd 2.96

---

5.
## KNbAuSeS2 (PBE)

Data for an optimized crystal structure of KNbAuSeS2.

The total energy comes out at -5.032 eV per atom. Its calculated density is 5625 kg/m3.

a b c (Å): 3.5944 15.4790 10.0192
angles (deg): 90.00 90.00 90.00
With the nearest neighbours (Å) after each atom.
Space group Cmcm (No. 63)
Symmetry-distinct sites (fractional):
K (0.0000, 0.2408, 0.2500)  2 Se 3.32, 2 Au 3.41, 6 S 3.43-3.60, 2 K 3.59
Nb (0.0000, 0.0000, 0.0000)  4 S 2.55, 2 Se 2.79
Au (0.0000, 0.4462, 0.7500)  2 S 2.38
Se (0.0000, 0.0787, 0.7500)  2 Au 2.73, 2 Nb 2.79
S (0.0000, 0.3849, 0.5319)  1 Au 2.38, 2 Nb 2.55

---

6.
## NdHoSbCl2 (PBE)

Data for an optimized crystal structure of NdHoSbCl2.

The total energy comes out at -5.077 eV per atom. Its calculated density is 5056 kg/m3.

a b c (Å): 4.2270 4.2270 10.6519
angles (deg): 90.00 90.00 120.00
With the nearest neighbours (Å) after each atom.
Space group P3m1 (No. 156)
Symmetry-distinct sites (fractional):
Nd (0.0000, 0.0000, 0.0000)  3 Cl 2.92, 3 Sb 3.09
Ho (0.3333, 0.6667, 0.3383)  3 Cl 2.86, 3 Sb 2.98
Sb (0.6667, 0.3333, 0.1776)  3 Ho 2.98, 3 Nd 3.09
Cl (0.0000, 0.0000, 0.4781)  3 Ho 2.86
Cl (0.3333, 0.6667, 0.8489)  3 Nd 2.92

---

7.
## LaY2Mg3Ir2Pd (PBE)

Data for an optimized crystal structure of LaY2Mg3Ir2Pd.

The total energy comes out at -5.722 eV per atom. Its calculated density is 7509 kg/m3.

a b c (Å): 4.0543 12.8613 7.4683
angles (deg): 90.00 90.00 90.00
With the nearest neighbours (Å) after each atom.
Space group Amm2 (No. 38)
Symmetry-distinct sites (fractional):
La (0.0000, 0.0000, 0.0000)  4 Ir 3.02, 1 Pd 3.19, 2 Mg 3.23
Y (0.0000, 0.2080, 0.6293)  4 Ir 3.00-3.03, 1 Pd 3.07, 4 Mg 3.21-3.35
Mg (0.5000, 0.0000, 0.6638)  2 Pd 2.69, 2 Ir 2.91
Mg (0.5000, 0.1259, 0.3014)  2 Pd 2.76, 2 Ir 2.79-2.88
Ir (0.5000, 0.1686, 0.9231)  3 Mg 2.79-2.91, 4 Y 3.00-3.03, 2 La 3.02
Pd (0.0000, 0.0000, 0.4275)  6 Mg 2.69-2.76

---

8.
## TmTlOs (PBE)

Data for an optimized crystal structure of TmTlOs.

The total energy comes out at -5.351 eV per atom. The energy above the most stable polymorph in this dataset is 0.000 eV per atom. Its calculated density is 13127 kg/m3.

a b c (Å): 6.5820 6.5820 6.5820
angles (deg): 90.00 90.00 90.00
With the nearest neighbours (Å) after each atom.
Space group F-43m (No. 216)
Symmetry-distinct sites (fractional):
Tm (0.0000, 0.0000, 0.0000)  4 Tl 2.85
Tl (0.2500, 0.2500, 0.7500)  4 Os 2.85, 4 Tm 2.85
Os (0.0000, 0.0000, 0.5000)  4 Tl 2.85